This record from Alexandria describes crystalline AcY2Ag at its relaxed geometry. The functional is PBE.

Summary:
The energy above the most stable polymorph in this dataset is 232 meV/atom. For the electronic total energy, the calculation gives -4.851 eV per atom. The value obtained for the formation energy is 0.121 eV/atom.

Unit cell a=5.6440 b=5.6440 c=3.8309 alpha=90.00 beta=90.00 gamma=90.00
Space group P4/mmm (No. 123)
Asymmetric unit:
Ac 0.0000 0.0000 0.0000
Y 0.0000 0.5000 0.5000
Ag 0.5000 0.5000 0.0000